Density functional theory data (GGA-PBE) for crystalline B2TeAu at its relaxed geometry.

Results
E_tot: -3.137 eV/atom

Structure (CIF):
```
data_B2TeAu
_chemical_formula_sum 'B8 Te4 Au4'
_cell_length_a 6.400
_cell_length_b 6.400
_cell_length_c 6.400
_cell_angle_alpha 90.00
_cell_angle_beta 90.00
_cell_angle_gamma 90.00
_space_group_name_H-M_alt 'F -4 3 m'
_space_group_IT_number 216
_space_group_name_Hall 'F -4 2 3'
loop_
_atom_site_label
_atom_site_fract_x
_atom_site_fract_y
_atom_site_fract_z
_atom_site_occupancy
B1 0.000 0.000 0.000 1
B2 0.250 0.250 0.250 1
Te1 0.000 0.000 0.500 1
Au1 0.250 0.250 0.750 1
```

Density functional theory data (GGA-PBE) for crystalline BTe2Au at its relaxed geometry.

Results
E_tot: -2.847 eV/atom

Structure (CIF):
```
data_BTe2Au
_chemical_formula_sum 'B4 Te8 Au4'
_cell_length_a 7.023
_cell_length_b 7.023
_cell_length_c 7.023
_cell_angle_alpha 90.00
_cell_angle_beta 90.00
_cell_angle_gamma 90.00
_space_group_name_H-M_alt 'F -4 3 m'
_space_group_IT_number 216
_space_group_name_Hall 'F -4 2 3'
loop_
_atom_site_label
_atom_site_fract_x
_atom_site_fract_y
_atom_site_fract_z
_atom_site_occupancy
B1 0.000 0.000 0.000 1
Te1 0.000 0.000 0.500 1
Te2 0.250 0.250 0.750 1
Au1 0.250 0.250 0.250 1
```

Density functional theory data (GGA-PBE) for crystalline ThB4Au at its relaxed geometry.

Results
Total magnetic moment: 0.003 μB/f.u.
Energy above the lowest structure with this stoichiometry: 160 meV per atom
E_tot: -6.094 eV/atom

Structure (CIF):
```
data_ThB4Au
_chemical_formula_sum 'Th1 B4 Au1'
_cell_length_a 3.2751
_cell_length_b 3.2751
_cell_length_c 7.5471
_cell_angle_alpha 90.00
_cell_angle_beta 90.00
_cell_angle_gamma 120.00
_space_group_name_H-M_alt 'P 6/m m m'
_space_group_IT_number 191
_space_group_name_Hall '-P 6 2'
loop_
_atom_site_label
_atom_site_fract_x
_atom_site_fract_y
_atom_site_fract_z
_atom_site_occupancy
Th1 0.0000 0.0000 0.0000 1
B1 0.3333 0.6667 0.2677 1
Au1 0.0000 0.0000 0.5000 1
```

Density functional theory data (GGA-PBE) for crystalline ThBAu at its relaxed geometry.

Results
Total magnetic moment: 0.001 μB/f.u.
Energy above the lowest structure with this stoichiometry: 547 meV per atom
E_tot: -5.435 eV/atom

Structure (CIF):
```
data_ThBAu
_chemical_formula_sum 'Th4 B4 Au4'
_cell_length_a 6.487
_cell_length_b 6.487
_cell_length_c 6.487
_cell_angle_alpha 90.00
_cell_angle_beta 90.00
_cell_angle_gamma 90.00
_space_group_name_H-M_alt 'F -4 3 m'
_space_group_IT_number 216
_space_group_name_Hall 'F -4 2 3'
loop_
_atom_site_label
_atom_site_fract_x
_atom_site_fract_y
_atom_site_fract_z
_atom_site_occupancy
Th1 0.000 0.000 0.000 1
B1 0.000 0.000 0.500 1
Au1 0.250 0.250 0.750 1
```

Density functional theory data (GGA-PBE) for crystalline ThB4Au at its relaxed geometry.

Results
Total magnetic moment: 0.001 μB/f.u.
Energy above the lowest structure with this stoichiometry: 0 meV per atom
E_tot: -6.253 eV/atom

Structure (CIF):
```
data_ThB4Au
_chemical_formula_sum 'Th2 B8 Au2'
_cell_length_a 3.250
_cell_length_b 5.262
_cell_length_c 8.787
_cell_angle_alpha 90.00
_cell_angle_beta 90.00
_cell_angle_gamma 90.00
_space_group_name_H-M_alt 'I m m m'
_space_group_IT_number 71
_space_group_name_Hall '-I 2 2'
loop_
_atom_site_label
_atom_site_fract_x
_atom_site_fract_y
_atom_site_fract_z
_atom_site_occupancy
Th1 0.000 0.000 0.000 1
B1 0.000 0.307 0.271 1
Au1 0.000 0.000 0.500 1
```

Density functional theory data (GGA-PBE) for crystalline ThBAu at its relaxed geometry.

Results
Total magnetic moment: 0.001 μB/f.u.
Energy above the lowest structure with this stoichiometry: 0 meV per atom
E_tot: -5.983 eV/atom

Structure (CIF):
```
data_ThBAu
_chemical_formula_sum 'Th4 B4 Au4'
_cell_length_a 6.234
_cell_length_b 6.234
_cell_length_c 6.234
_cell_angle_alpha 90.00
_cell_angle_beta 90.00
_cell_angle_gamma 90.00
_space_group_name_H-M_alt 'F -4 3 m'
_space_group_IT_number 216
_space_group_name_Hall 'F -4 2 3'
loop_
_atom_site_label
_atom_site_fract_x
_atom_site_fract_y
_atom_site_fract_z
_atom_site_occupancy
Th1 0.000 0.000 0.000 1
B1 0.250 0.250 0.750 1
Au1 0.000 0.000 0.500 1
```

Density functional theory data (GGA-PBE) for crystalline TlB2Au at its relaxed geometry.

Results
E_tot: -2.920 eV/atom

Structure (CIF):
```
data_TlB2Au
_chemical_formula_sum 'Tl4 B8 Au4'
_cell_length_a 6.387
_cell_length_b 6.387
_cell_length_c 6.387
_cell_angle_alpha 90.00
_cell_angle_beta 90.00
_cell_angle_gamma 90.00
_space_group_name_H-M_alt 'F -4 3 m'
_space_group_IT_number 216
_space_group_name_Hall 'F -4 2 3'
loop_
_atom_site_label
_atom_site_fract_x
_atom_site_fract_y
_atom_site_fract_z
_atom_site_occupancy
Tl1 0.000 0.000 0.000 1
B1 0.000 0.000 0.500 1
B2 0.250 0.250 0.750 1
Au1 0.250 0.250 0.250 1
```

Density functional theory data (GGA-PBE) for crystalline TlB4Au at its relaxed geometry.

Results
Energy above the lowest structure with this stoichiometry: 0 meV per atom
E_tot: -4.749 eV/atom

Structure (CIF):
```
data_TlB4Au
_chemical_formula_sum 'Tl1 B4 Au1'
_cell_length_a 3.0627
_cell_length_b 3.0627
_cell_length_c 9.3193
_cell_angle_alpha 90.00
_cell_angle_beta 90.00
_cell_angle_gamma 120.00
_space_group_name_H-M_alt 'P 6/m m m'
_space_group_IT_number 191
_space_group_name_Hall '-P 6 2'
loop_
_atom_site_label
_atom_site_fract_x
_atom_site_fract_y
_atom_site_fract_z
_atom_site_occupancy
Tl1 0.0000 0.0000 0.0000 1
B1 0.3333 0.6667 0.2891 1
Au1 0.0000 0.0000 0.5000 1
```

Density functional theory data (GGA-PBE) for crystalline TlB4Au at its relaxed geometry.

Results
Energy above the lowest structure with this stoichiometry: 75 meV per atom
E_tot: -4.673 eV/atom

Structure (CIF):
```
data_TlB4Au
_chemical_formula_sum 'Tl2 B8 Au2'
_cell_length_a 2.994
_cell_length_b 5.316
_cell_length_c 9.473
_cell_angle_alpha 90.00
_cell_angle_beta 90.00
_cell_angle_gamma 90.00
_space_group_name_H-M_alt 'I m m m'
_space_group_IT_number 71
_space_group_name_Hall '-I 2 2'
loop_
_atom_site_label
_atom_site_fract_x
_atom_site_fract_y
_atom_site_fract_z
_atom_site_occupancy
Tl1 0.000 0.000 0.000 1
B1 0.000 0.337 0.247 1
Au1 0.000 0.000 0.500 1
```

Density functional theory data (GGA-PBE) for crystalline TmBAu at its relaxed geometry.

Results
Total magnetic moment: 0.004 μB/f.u.
Energy above the lowest structure with this stoichiometry: 733 meV per atom
E_tot: -4.247 eV/atom

Structure (CIF):
```
data_TmBAu
_chemical_formula_sum 'Tm4 B4 Au4'
_cell_length_a 6.322
_cell_length_b 6.322
_cell_length_c 6.322
_cell_angle_alpha 90.00
_cell_angle_beta 90.00
_cell_angle_gamma 90.00
_space_group_name_H-M_alt 'F -4 3 m'
_space_group_IT_number 216
_space_group_name_Hall 'F -4 2 3'
loop_
_atom_site_label
_atom_site_fract_x
_atom_site_fract_y
_atom_site_fract_z
_atom_site_occupancy
Tm1 0.000 0.000 0.000 1
B1 0.250 0.250 0.250 1
Au1 0.250 0.250 0.750 1
```

Density functional theory data (GGA-PBE) for crystalline TmBAu at its relaxed geometry.

Results
Total magnetic moment: 0.000 μB/f.u.
Energy above the lowest structure with this stoichiometry: 0 meV per atom
E_tot: -4.981 eV/atom

Structure (CIF):
```
data_TmBAu
_chemical_formula_sum 'Tm4 B4 Au4'
_cell_length_a 5.936
_cell_length_b 5.936
_cell_length_c 5.936
_cell_angle_alpha 90.00
_cell_angle_beta 90.00
_cell_angle_gamma 90.00
_space_group_name_H-M_alt 'F -4 3 m'
_space_group_IT_number 216
_space_group_name_Hall 'F -4 2 3'
loop_
_atom_site_label
_atom_site_fract_x
_atom_site_fract_y
_atom_site_fract_z
_atom_site_occupancy
Tm1 0.000 0.000 0.000 1
B1 0.250 0.250 0.750 1
Au1 0.000 0.000 0.500 1
```

Density functional theory data (GGA-PBE) for crystalline TmB4Au at its relaxed geometry.

Results
Total magnetic moment: 0.000 μB/f.u.
Energy above the lowest structure with this stoichiometry: 0 meV per atom
E_tot: -5.862 eV/atom

Structure (CIF):
```
data_TmB4Au
_chemical_formula_sum 'Tm2 B8 Au2'
_cell_length_a 3.195
_cell_length_b 5.211
_cell_length_c 8.001
_cell_angle_alpha 90.00
_cell_angle_beta 90.00
_cell_angle_gamma 90.00
_space_group_name_H-M_alt 'I m m m'
_space_group_IT_number 71
_space_group_name_Hall '-I 2 2'
loop_
_atom_site_label
_atom_site_fract_x
_atom_site_fract_y
_atom_site_fract_z
_atom_site_occupancy
Tm1 0.000 0.000 0.000 1
B1 0.000 0.315 0.271 1
Au1 0.000 0.000 0.500 1
```

Density functional theory data (GGA-PBE) for crystalline TmB4Au at its relaxed geometry.

Results
Total magnetic moment: 0.004 μB/f.u.
Energy above the lowest structure with this stoichiometry: 124 meV per atom
E_tot: -5.738 eV/atom

Structure (CIF):
```
data_TmB4Au
_chemical_formula_sum 'Tm1 B4 Au1'
_cell_length_a 3.2224
_cell_length_b 3.2224
_cell_length_c 7.1740
_cell_angle_alpha 90.00
_cell_angle_beta 90.00
_cell_angle_gamma 120.00
_space_group_name_H-M_alt 'P 6/m m m'
_space_group_IT_number 191
_space_group_name_Hall '-P 6 2'
loop_
_atom_site_label
_atom_site_fract_x
_atom_site_fract_y
_atom_site_fract_z
_atom_site_occupancy
Tm1 0.0000 0.0000 0.0000 1
B1 0.3333 0.6667 0.2495 1
Au1 0.0000 0.0000 0.5000 1
```

Density functional theory data (GGA-PBE) for crystalline UBAu at its relaxed geometry.

Results
Total magnetic moment: 1.987 μB/f.u.
Energy above the lowest structure with this stoichiometry: 737 meV per atom
E_tot: -6.071 eV/atom

Structure (CIF):
```
data_UBAu
_chemical_formula_sum 'U4 B4 Au4'
_cell_length_a 6.376
_cell_length_b 6.376
_cell_length_c 6.376
_cell_angle_alpha 90.00
_cell_angle_beta 90.00
_cell_angle_gamma 90.00
_space_group_name_H-M_alt 'F -4 3 m'
_space_group_IT_number 216
_space_group_name_Hall 'F -4 2 3'
loop_
_atom_site_label
_atom_site_fract_x
_atom_site_fract_y
_atom_site_fract_z
_atom_site_occupancy
U1 0.000 0.000 0.000 1
B1 0.250 0.250 0.250 1
Au1 0.250 0.250 0.750 1
```

Density functional theory data (GGA-PBE) for crystalline UBAu at its relaxed geometry.

Results
Total magnetic moment: 1.975 μB/f.u.
Energy above the lowest structure with this stoichiometry: 0 meV per atom
E_tot: -6.808 eV/atom

Structure (CIF):
```
data_UBAu
_chemical_formula_sum 'U4 B4 Au4'
_cell_length_a 6.038
_cell_length_b 6.038
_cell_length_c 6.038
_cell_angle_alpha 90.00
_cell_angle_beta 90.00
_cell_angle_gamma 90.00
_space_group_name_H-M_alt 'F -4 3 m'
_space_group_IT_number 216
_space_group_name_Hall 'F -4 2 3'
loop_
_atom_site_label
_atom_site_fract_x
_atom_site_fract_y
_atom_site_fract_z
_atom_site_occupancy
U1 0.000 0.000 0.000 1
B1 0.250 0.250 0.750 1
Au1 0.000 0.000 0.500 1
```

Density functional theory data (GGA-PBE) for crystalline BWAu at its relaxed geometry.

Results
Total magnetic moment: 0.014 μB/f.u.
Energy above the lowest structure with this stoichiometry: 0 meV per atom
E_tot: -6.227 eV/atom

Structure (CIF):
```
data_BWAu
_chemical_formula_sum 'B4 W4 Au4'
_cell_length_a 5.842
_cell_length_b 5.842
_cell_length_c 5.842
_cell_angle_alpha 90.00
_cell_angle_beta 90.00
_cell_angle_gamma 90.00
_space_group_name_H-M_alt 'F -4 3 m'
_space_group_IT_number 216
_space_group_name_Hall 'F -4 2 3'
loop_
_atom_site_label
_atom_site_fract_x
_atom_site_fract_y
_atom_site_fract_z
_atom_site_occupancy
B1 0.000 0.000 0.000 1
W1 0.250 0.250 0.750 1
Au1 0.000 0.000 0.500 1
```

Density functional theory data (GGA-PBE) for crystalline B2WAu at its relaxed geometry.

Results
Total magnetic moment: 0.238 μB/f.u.
E_tot: -5.669 eV/atom

Structure (CIF):
```
data_B2WAu
_chemical_formula_sum 'B8 W4 Au4'
_cell_length_a 5.896
_cell_length_b 5.896
_cell_length_c 5.896
_cell_angle_alpha 90.00
_cell_angle_beta 90.00
_cell_angle_gamma 90.00
_space_group_name_H-M_alt 'F -4 3 m'
_space_group_IT_number 216
_space_group_name_Hall 'F -4 2 3'
loop_
_atom_site_label
_atom_site_fract_x
_atom_site_fract_y
_atom_site_fract_z
_atom_site_occupancy
B1 0.000 0.000 0.000 1
B2 0.250 0.250 0.250 1
W1 0.000 0.000 0.500 1
Au1 0.250 0.250 0.750 1
```

Density functional theory data (GGA-PBE) for crystalline BWAu at its relaxed geometry.

Results
Total magnetic moment: 1.608 μB/f.u.
Energy above the lowest structure with this stoichiometry: 325 meV per atom
E_tot: -5.902 eV/atom

Structure (CIF):
```
data_BWAu
_chemical_formula_sum 'B4 W4 Au4'
_cell_length_a 5.805
_cell_length_b 5.805
_cell_length_c 5.805
_cell_angle_alpha 90.00
_cell_angle_beta 90.00
_cell_angle_gamma 90.00
_space_group_name_H-M_alt 'F -4 3 m'
_space_group_IT_number 216
_space_group_name_Hall 'F -4 2 3'
loop_
_atom_site_label
_atom_site_fract_x
_atom_site_fract_y
_atom_site_fract_z
_atom_site_occupancy
B1 0.000 0.000 0.000 1
W1 0.000 0.000 0.500 1
Au1 0.250 0.250 0.250 1
```

Density functional theory data (GGA-PBE) for crystalline BWAu2 at its relaxed geometry.

Results
Total magnetic moment: 0.075 μB/f.u.
E_tot: -5.466 eV/atom

Structure (CIF):
```
data_BWAu2
_chemical_formula_sum 'B4 W4 Au8'
_cell_length_a 6.214
_cell_length_b 6.214
_cell_length_c 6.214
_cell_angle_alpha 90.00
_cell_angle_beta 90.00
_cell_angle_gamma 90.00
_space_group_name_H-M_alt 'F -4 3 m'
_space_group_IT_number 216
_space_group_name_Hall 'F -4 2 3'
loop_
_atom_site_label
_atom_site_fract_x
_atom_site_fract_y
_atom_site_fract_z
_atom_site_occupancy
B1 0.000 0.000 0.000 1
W1 0.250 0.250 0.250 1
Au1 0.000 0.000 0.500 1
Au2 0.250 0.250 0.750 1
```

Density functional theory data (GGA-PBE) for crystalline B3W4Au at its relaxed geometry.

Results
Total magnetic moment: 0.002 μB/f.u.
E_tot: -9.469 eV/atom

Structure (CIF):
```
data_B3W4Au
_chemical_formula_sum 'B6 W8 Au2'
_cell_length_a 3.1197
_cell_length_b 3.1197
_cell_length_c 24.4139
_cell_angle_alpha 90.00
_cell_angle_beta 90.00
_cell_angle_gamma 120.00
_space_group_name_H-M_alt 'P 63/m m c'
_space_group_IT_number 194
_space_group_name_Hall '-P 6c 2c'
loop_
_atom_site_label
_atom_site_fract_x
_atom_site_fract_y
_atom_site_fract_z
_atom_site_occupancy
B1 0.0000 0.0000 0.0000 1
B2 0.3333 0.6667 0.1080 1
W1 0.0000 0.0000 0.1556 1
W2 0.3333 0.6667 0.5556 1
Au1 0.3333 0.6667 0.7500 1
```

Which V belongs to each record? In order, 262.2 346.3 70.1 272.9 150.3 242.3 260.6 75.7 150.8 252.6 209.1 133.2 64.5 259.2 220.2 199.4 205.0 195.7 240.0 205.8 Å³/cell.